Record 1
This record from the Alexandria database describes a relaxed K2BeHSe2 crystal. The functional is PBE.

Cell: 5.488 10.000 8.350 Å, 126.78 109.19 90.00°
Site moments in Bohr magnetons follow the coordinates.
Element x y z (fractional)
K1 0.879 0.701 0.758  0.01
Se1 0.394 0.516 0.787  0.21
K2 0.379 0.057 0.758  0.01
Se2 0.106 0.729 0.213  0.21
K3 0.121 0.299 0.242  0.01
H1 0.250 0.000 0.000  0.14
K4 0.621 0.943 0.242  0.01
H2 0.750 0.000 0.000  0.14
Se3 0.606 0.484 0.213  0.21
Be1 0.750 0.500 0.000  -0.01
Be2 0.250 0.500 0.000  -0.01
Se4 0.894 0.271 0.787  0.21

Calculated values
Total energy in eV/atom: -3.26
Volume in Å³/cell: 335



Record 2
This record from the Alexandria database describes a relaxed KBeSiH2 crystal. The functional is PBE.

Cell: 4.229 4.160 4.229 Å, 90.00 90.00 90.00°
Element x y z (fractional)
K1 0.500 0.500 0.500
Be1 0.000 0.500 0.000
H1 0.500 0.000 0.000
Si1 0.000 0.000 0.000
H2 0.000 0.000 0.500

Calculated values
Total energy in eV/atom: -2.90
Volume in Å³/cell: 74



Record 3
This record from the Alexandria database describes a relaxed KTa2BeH crystal. The functional is PBE.

Cell: 4.394 6.444 4.394 Å, 90.00 90.00 90.00°
Site moments in Bohr magnetons follow the coordinates.
Element x y z (fractional)
K1 0.000 0.500 0.000  0.02
Ta1 0.000 0.000 0.500  0.67
H1 0.500 0.500 0.500  -0.03
Ta2 0.500 0.000 0.000  0.45
Be1 0.000 0.000 0.000  -0.01

Calculated values
Total energy in eV/atom: -4.70
Volume in Å³/cell: 124



Record 4
This record from the Alexandria database describes a relaxed KBeTeH2 crystal. The functional is PBE.

Cell: 4.049 7.772 4.049 Å, 90.00 90.00 90.00°
Site moments in Bohr magnetons follow the coordinates.
Element x y z (fractional)
H1 0.000 0.000 0.500  0.17
K1 0.000 0.000 0.000  0.11
Be1 0.000 0.500 0.000  -0.01
Te1 0.500 0.500 0.500  0.01
H2 0.500 0.000 0.000  0.30

Calculated values
Total energy in eV/atom: -1.97
Volume in Å³/cell: 127



Record 5
This record from the Alexandria database describes a relaxed KBe2TlH crystal. The functional is PBE.

Cell: 5.849 4.316 5.849 Å, 90.00 90.00 90.00°
Element x y z (fractional)
Be1 0.500 0.000 0.000
H1 0.000 0.500 0.000
Be2 0.000 0.000 0.500
Tl1 0.500 0.500 0.500
K1 0.000 0.000 0.000

Calculated values
Total energy in eV/atom: -1.35
Volume in Å³/cell: 148



Record 6
This record from the Alexandria database describes a relaxed KBe2ZnH8 crystal. The functional is PBE.

Cell: 4.072 4.072 7.740 Å, 82.01 82.01 75.46°
Element x y z (fractional)
H1 0.741 0.741 0.018
Be1 0.614 0.614 0.195
Zn1 0.000 0.000 0.000
H2 0.249 0.745 0.171
H3 0.341 0.341 0.635
H4 0.751 0.255 0.829
Be2 0.386 0.386 0.805
H5 0.255 0.751 0.829
H6 0.659 0.659 0.365
H7 0.259 0.259 0.982
H8 0.745 0.249 0.171
K1 0.000 0.000 0.500

Calculated values
Total energy in eV/atom: -2.95
Volume in Å³/cell: 122



Record 7
This record from the Alexandria database describes a relaxed KBeZnH6 crystal. The functional is PBE.

Cell: 4.151 6.136 4.965 Å, 94.76 96.81 64.36°
Element x y z (fractional)
Be1 0.300 0.405 0.425
K1 0.992 0.015 0.020
H1 0.130 0.385 0.675
H2 0.414 0.193 0.266
H3 0.569 0.832 0.750
H4 0.388 0.594 0.310
H5 0.563 0.389 0.675
H6 0.939 0.599 0.311
Zn1 0.705 0.589 0.568

Calculated values
Total energy in eV/atom: -2.90
Volume in Å³/cell: 113



Record 8
This record from the Alexandria database describes a relaxed LaBeH crystal. The functional is PBE.

Cell: 4.366 5.017 8.564 Å, 90.00 90.00 90.00°
Element x y z (fractional)
La1 0.000 0.500 0.860
Be1 0.259 0.000 0.701
La2 0.500 0.500 0.528
La3 0.000 0.000 0.360
Be2 0.741 0.000 0.701
H1 0.000 0.718 0.123
La4 0.500 0.000 0.028
Be3 0.741 0.500 0.201
Be4 0.259 0.500 0.201
H2 0.000 0.282 0.123
H3 0.000 0.218 0.623
H4 0.000 0.782 0.623

Calculated values
Total energy in eV/atom: -4.10
Polymorph energy (0 for the lowest one) in meV/atom: 105
Volume in Å³/cell: 188